1.
Computed, not measured: a relaxed Nd5Y2Er12 crystal at the GGA-PBE level of DFT.

Cell lengths 6.2761, 9.0323, 10.9321 Å; angles 87.25, 82.22, 87.86 degrees
Last column: nearest neighbours and their distance in Å.
Positions (direct):
1 Nd 0.0000 0.0000 0.0000  10 Er 3.55-3.90, 2 Nd 3.94
2 Nd 0.1227 0.9870 0.3447  10 Er 3.35-3.64, 1 Nd 3.55
3 Nd 0.2709 0.5521 0.9444  6 Er 3.25-3.59, 2 Nd 3.36-3.60, 1 Y 3.42
4 Nd 0.7291 0.4479 0.0556  6 Er 3.25-3.59, 2 Nd 3.36-3.60, 1 Y 3.42
5 Nd 0.8773 0.0130 0.6553  10 Er 3.35-3.64, 1 Nd 3.55
6 Y 0.4563 0.4959 0.3446  10 Er 3.42-3.80, 1 Nd 3.42, 1 Y 3.52
7 Y 0.5437 0.5041 0.6554  10 Er 3.42-3.80, 1 Nd 3.42, 1 Y 3.52
8 Er 0.0161 0.3421 0.7676  3 Nd 3.36-3.56, 6 Er 3.47-3.72, 2 Y 3.59-3.70
9 Er 0.0724 0.6643 0.5486  7 Er 3.39-3.69, 3 Y 3.42-3.69, 2 Nd 3.53-3.58
10 Er 0.1810 0.2942 0.1607  4 Nd 3.25-3.56, 4 Er 3.39-3.56, 1 Y 3.45
11 Er 0.3545 0.8572 0.7494  4 Nd 3.41-3.62, 6 Er 3.42-3.67, 1 Y 3.51
12 Er 0.3992 0.1737 0.5550  2 Y 3.42-3.62, 7 Er 3.47-3.77, 3 Nd 3.57-3.64
13 Er 0.4974 0.8242 0.1131  6 Er 3.52-3.93, 5 Nd 3.55-3.78, 1 Y 3.80
14 Er 0.5026 0.1758 0.8869  6 Er 3.52-3.93, 5 Nd 3.55-3.78, 1 Y 3.80
15 Er 0.6008 0.8263 0.4450  2 Y 3.42-3.62, 7 Er 3.47-3.77, 3 Nd 3.57-3.64
16 Er 0.6455 0.1428 0.2506  4 Nd 3.41-3.62, 6 Er 3.42-3.67, 1 Y 3.51
17 Er 0.8190 0.7058 0.8393  4 Nd 3.25-3.56, 4 Er 3.39-3.56, 1 Y 3.45
18 Er 0.9276 0.3357 0.4514  7 Er 3.39-3.69, 3 Y 3.42-3.69, 2 Nd 3.53-3.58
19 Er 0.9839 0.6579 0.2324  3 Nd 3.36-3.56, 6 Er 3.47-3.72, 2 Y 3.59-3.70

Summary:
**Fermi-level density of states**: 1.551 states/eV per atom
**Uncorrected energy**: -4.75 eV/atom
**Formation energy from the elements**: 0.06 eV per atom
**Polymorph energy (0 for the lowest one)**: 0 meV per atom

=====

2.
Computed, not measured: a relaxed NdY6Er3 crystal at the GGA-PBE level of DFT.

Cell lengths 10.9510, 10.9510, 6.2549 Å; angles 90.00, 90.00, 119.82 degrees
Last column: nearest neighbours and their distance in Å.
Positions (direct):
1 Nd 0.2069 0.7931 0.5000  3 Er 3.22-3.49, 7 Y 3.32-3.53
2 Nd 0.7931 0.2069 0.0000  3 Er 3.22-3.49, 7 Y 3.32-3.53
3 Y 0.0405 0.4577 0.6994  2 Er 3.28-3.60, 5 Y 3.30-3.50, 2 Nd 3.32-3.42
4 Y 0.0476 0.9524 0.2430  1 Nd 3.42, 4 Er 3.55-3.61, 4 Y 3.61-3.77
5 Y 0.2853 0.7147 0.9886  4 Y 3.30-3.37, 1 Er 3.32, 2 Nd 3.40-3.53
6 Y 0.2903 0.3800 0.8711  4 Er 3.39-3.60, 6 Y 3.42-3.77
7 Y 0.3800 0.2903 0.3711  4 Er 3.39-3.60, 6 Y 3.42-3.77
8 Y 0.4577 0.0405 0.1994  2 Er 3.28-3.60, 5 Y 3.30-3.50, 2 Nd 3.32-3.42
9 Y 0.5423 0.9595 0.6994  2 Er 3.28-3.60, 5 Y 3.30-3.50, 2 Nd 3.32-3.42
10 Y 0.6200 0.7097 0.8711  4 Er 3.39-3.60, 6 Y 3.42-3.77
11 Y 0.7097 0.6200 0.3711  4 Er 3.39-3.60, 6 Y 3.42-3.77
12 Y 0.7147 0.2853 0.4886  4 Y 3.30-3.37, 1 Er 3.32, 2 Nd 3.40-3.53
13 Y 0.9524 0.0476 0.7430  1 Nd 3.42, 4 Er 3.55-3.61, 4 Y 3.61-3.77
14 Y 0.9595 0.5423 0.1994  2 Er 3.28-3.60, 5 Y 3.30-3.50, 2 Nd 3.32-3.42
15 Er 0.0653 0.2837 0.2899  1 Nd 3.22, 5 Y 3.28-3.60
16 Er 0.2837 0.0653 0.7899  1 Nd 3.22, 5 Y 3.28-3.60
17 Er 0.3892 0.6108 0.4158  5 Y 3.32-3.60, 1 Nd 3.49, 2 Er 3.66
18 Er 0.6108 0.3892 0.9158  5 Y 3.32-3.60, 1 Nd 3.49, 2 Er 3.66
19 Er 0.7163 0.9347 0.2899  1 Nd 3.22, 5 Y 3.28-3.60
20 Er 0.9347 0.7163 0.7899  1 Nd 3.22, 5 Y 3.28-3.60

Summary:
**Fermi-level density of states**: 1.426 states/eV per atom
**Uncorrected energy**: -5.58 eV/atom
**Formation energy from the elements**: 0.15 eV per atom
**Polymorph energy (0 for the lowest one)**: 29 meV per atom

=====

3.
Computed, not measured: a relaxed Nd5Y4Er crystal at the GGA-PBE level of DFT.

Cell lengths 3.5805, 9.3213, 11.0558 Å; angles 103.41, 90.01, 100.99 degrees
Last column: nearest neighbours and their distance in Å.
Positions (direct):
1 Nd 0.0000 0.0000 0.0000  4 Y 3.34-3.35, 6 Nd 3.53-3.58
2 Nd 0.3326 0.6619 0.9742  4 Y 3.48-3.86, 6 Nd 3.53-3.63
3 Nd 0.3391 0.6765 0.5858  4 Y 3.48-3.77, 4 Nd 3.58-3.79, 2 Er 3.77
4 Nd 0.6609 0.3235 0.4142  4 Y 3.48-3.77, 4 Nd 3.58-3.79, 2 Er 3.77
5 Nd 0.6674 0.3382 0.0258  4 Y 3.48-3.86, 6 Nd 3.53-3.63
6 Y 0.1755 0.3543 0.7196  4 Y 3.43-3.58, 4 Nd 3.48-3.77, 1 Er 3.56
7 Y 0.4760 0.9520 0.2432  2 Er 3.30, 4 Nd 3.34-3.49, 4 Y 3.43-3.58
8 Y 0.5240 0.0480 0.7568  2 Er 3.30, 4 Nd 3.34-3.49, 4 Y 3.43-3.58
9 Y 0.8245 0.6457 0.2804  4 Y 3.43-3.58, 4 Nd 3.48-3.77, 1 Er 3.56
10 Er 0.0000 0.0000 0.5000  6 Y 3.30-3.56, 2 Er 3.58

Summary:
**Fermi-level density of states**: 1.699 states/eV per atom
**Uncorrected energy**: -5.22 eV/atom
**Formation energy from the elements**: 0.21 eV per atom
**Polymorph energy (0 for the lowest one)**: 0 meV per atom

=====

4.
Computed, not measured: a relaxed Nd2Y3Er2 crystal at the GGA-PBE level of DFT.

Cell lengths 8.4784, 8.4784, 8.4784 Å; angles 109.47, 109.47, 109.47 degrees
Last column: nearest neighbours and their distance in Å.
Positions (direct):
1 Nd 0.0000 0.6897 0.5000  1 Er 3.38, 3 Y 3.52, 3 Nd 3.56
2 Nd 0.5000 0.0000 0.6897  1 Er 3.38, 3 Y 3.52, 3 Nd 3.56
3 Nd 0.6897 0.5000 0.0000  1 Er 3.38, 3 Y 3.52, 3 Nd 3.56
4 Nd 0.8103 0.8103 0.8103  1 Er 3.38, 3 Y 3.52, 3 Nd 3.56
5 Y 0.1920 0.9420 0.2500  4 Er 3.25-3.30, 2 Nd 3.52
6 Y 0.2500 0.1920 0.9420  4 Er 3.25-3.30, 2 Nd 3.52
7 Y 0.3080 0.5580 0.7500  4 Er 3.25-3.30, 2 Nd 3.52
8 Y 0.5580 0.7500 0.3080  4 Er 3.25-3.30, 2 Nd 3.52
9 Y 0.7500 0.3080 0.5580  4 Er 3.25-3.30, 2 Nd 3.52
10 Y 0.9420 0.2500 0.1920  4 Er 3.25-3.30, 2 Nd 3.52
11 Er 0.0000 0.0884 0.5000  6 Y 3.25-3.30, 1 Nd 3.38
12 Er 0.0884 0.5000 0.0000  6 Y 3.25-3.30, 1 Nd 3.38
13 Er 0.4116 0.4116 0.4116  6 Y 3.25-3.30, 1 Nd 3.38
14 Er 0.5000 0.0000 0.0884  6 Y 3.25-3.30, 1 Nd 3.38

Summary:
**Fermi-level density of states**: 1.370 states/eV per atom
**Uncorrected energy**: -5.21 eV/atom
**Formation energy from the elements**: 0.23 eV per atom
**Polymorph energy (0 for the lowest one)**: 101 meV per atom

=====

5.
Computed, not measured: a relaxed Nd5Y2Er3 crystal at the GGA-PBE level of DFT.

Cell lengths 9.1129, 9.1129, 10.1345 Å; angles 108.01, 108.01, 108.19 degrees
Last column: nearest neighbours and their distance in Å.
Positions (direct):
1 Nd 0.0187 0.9813 0.7500  3 Nd 3.12-3.39, 2 Er 3.40
2 Nd 0.1303 0.3730 0.7513  3 Nd 3.39-3.46, 2 Er 3.39-3.77, 2 Y 3.75-3.77
3 Nd 0.2298 0.7702 0.7500  3 Nd 3.12-3.45, 2 Y 3.44
4 Nd 0.2695 0.7305 0.2500  3 Er 3.09-3.42
5 Nd 0.3730 0.1303 0.2513  3 Nd 3.39-3.46, 2 Er 3.39-3.77, 2 Y 3.75-3.77
6 Nd 0.6270 0.8697 0.7487  3 Nd 3.39-3.46, 2 Er 3.39-3.77, 2 Y 3.75-3.77
7 Nd 0.7305 0.2695 0.7500  3 Er 3.09-3.42
8 Nd 0.7702 0.2298 0.2500  3 Nd 3.12-3.45, 2 Y 3.44
9 Nd 0.8697 0.6270 0.2487  3 Nd 3.39-3.46, 2 Er 3.39-3.77, 2 Y 3.75-3.77
10 Nd 0.9813 0.0187 0.2500  3 Nd 3.12-3.39, 2 Er 3.40
11 Y 0.2242 0.4681 0.4418  3 Er 3.29-3.47, 4 Nd 3.44-3.52
12 Y 0.4681 0.2242 0.9418  3 Er 3.29-3.47, 4 Nd 3.44-3.52
13 Y 0.5319 0.7758 0.0582  3 Er 3.29-3.47, 4 Nd 3.44-3.52
14 Y 0.7758 0.5319 0.5582  3 Er 3.29-3.47, 4 Nd 3.44-3.52
15 Er 0.0310 0.2800 0.0595  1 Y 3.29, 5 Nd 3.40-3.51, 1 Er 3.48
16 Er 0.2800 0.0310 0.5595  1 Y 3.29, 5 Nd 3.40-3.51, 1 Er 3.48
17 Er 0.4787 0.5213 0.2500  3 Nd 3.09-3.39, 2 Y 3.39
18 Er 0.5213 0.4787 0.7500  3 Nd 3.09-3.39, 2 Y 3.39
19 Er 0.7200 0.9690 0.4405  1 Y 3.29, 5 Nd 3.40-3.51, 1 Er 3.48
20 Er 0.9690 0.7200 0.9405  1 Y 3.29, 5 Nd 3.40-3.51, 1 Er 3.48

Summary:
**Fermi-level density of states**: 1.758 states/eV per atom
**Uncorrected energy**: -4.87 eV/atom
**Formation energy from the elements**: 0.18 eV per atom
**Polymorph energy (0 for the lowest one)**: 0 meV per atom

=====

6.
Computed, not measured: a relaxed Nd2Y7Er12 crystal at the GGA-PBE level of DFT.

Cell lengths 12.0896, 12.0896, 5.5305 Å; angles 90.00, 90.00, 120.00 degrees
Last column: nearest neighbours and their distance in Å.
Positions (direct):
1 Nd 0.0000 0.0000 0.0000  6 Y 3.49, 6 Er 3.50-3.79
2 Nd 0.3333 0.6667 0.5000  9 Er 4.00-4.22, 6 Y 4.39
3 Y 0.0057 0.8267 0.5000  7 Er 3.42-3.61, 2 Nd 3.49, 2 Y 3.69
4 Y 0.0082 0.5166 0.0000  8 Er 3.24-3.54, 1 Y 3.58
5 Y 0.1733 0.1790 0.5000  7 Er 3.42-3.61, 2 Nd 3.49, 2 Y 3.69
6 Y 0.4834 0.4916 0.0000  8 Er 3.24-3.54, 1 Y 3.58
7 Y 0.5084 0.9918 0.0000  8 Er 3.24-3.54, 1 Y 3.58
8 Y 0.6667 0.3333 0.0000  9 Er 3.40-3.49, 3 Y 3.58
9 Y 0.8210 0.9943 0.5000  7 Er 3.42-3.61, 2 Nd 3.49, 2 Y 3.69
10 Er 0.9998 0.3394 0.5000  6 Er 3.36-3.49, 4 Y 3.47-3.61
11 Er 0.1749 0.3619 0.0000  4 Y 3.24-3.53, 3 Er 3.41-3.45
12 Er 0.1870 0.8251 0.0000  4 Y 3.24-3.53, 3 Er 3.41-3.45
13 Er 0.3336 0.1544 0.0000  5 Er 3.36-3.45, 5 Y 3.47-3.54, 1 Nd 3.50
14 Er 0.3396 0.0002 0.5000  6 Er 3.36-3.49, 4 Y 3.47-3.61
15 Er 0.4996 0.3268 0.5000  5 Y 3.40-3.47, 6 Er 3.42-3.49
16 Er 0.6381 0.8130 0.0000  4 Y 3.24-3.53, 3 Er 3.41-3.45
17 Er 0.6606 0.6604 0.5000  6 Er 3.36-3.49, 4 Y 3.47-3.61
18 Er 0.6732 0.1728 0.5000  5 Y 3.40-3.47, 6 Er 3.42-3.49
19 Er 0.8208 0.6664 0.0000  5 Er 3.36-3.45, 5 Y 3.47-3.54, 1 Nd 3.50
20 Er 0.8272 0.5004 0.5000  5 Y 3.40-3.47, 6 Er 3.42-3.49
21 Er 0.8456 0.1792 0.0000  5 Er 3.36-3.45, 5 Y 3.47-3.54, 1 Nd 3.50

Summary:
**Fermi-level density of states**: 1.683 states/eV per atom
**Uncorrected energy**: -5.04 eV/atom
**Formation energy from the elements**: 0.18 eV per atom